--- i ---
## Zn6InAu12 (GGA-PBE)

Data for a geometry-optimized Zn6InAu12 structure.

Properties
SG   No. 148

Unit cell a=7.0367 b=7.7065 c=7.7065 alpha=68.84 beta=72.28 gamma=107.72
Last column: nearest neighbours and their distance in Å.
Atoms (fractional coordinates):
Zn (0.6456, 0.2238, 0.3044)  8 Au 2.72-2.89, 2 Zn 2.84
Zn (0.5781, 0.5281, 0.7762)  8 Au 2.72-2.89, 2 Zn 2.84
Zn (0.3544, 0.7762, 0.6956)  8 Au 2.72-2.89, 2 Zn 2.84
Zn (0.0500, 0.6956, 0.5281)  8 Au 2.72-2.89, 2 Zn 2.84
Zn (0.4219, 0.4719, 0.2238)  8 Au 2.72-2.89, 2 Zn 2.84
Zn (0.9500, 0.3044, 0.4719)  8 Au 2.72-2.89, 2 Zn 2.84
Au (0.2664, 0.4341, 0.6140)  5 Zn 2.74-2.89, 5 Au 2.82-3.03, 1 In 3.03
Au (0.8003, 0.2771, 0.8548)  3 Zn 2.72-2.85, 4 Au 2.82-2.90, 1 In 2.97
Au (0.1676, 0.0481, 0.5659)  5 Zn 2.74-2.89, 5 Au 2.82-3.03, 1 In 3.03
Au (0.8324, 0.9519, 0.4341)  5 Zn 2.74-2.89, 5 Au 2.82-3.03, 1 In 3.03
Au (0.5232, 0.8681, 0.2771)  3 Zn 2.72-2.85, 4 Au 2.82-2.90, 1 In 2.97
Au (0.1997, 0.7229, 0.1452)  3 Zn 2.72-2.85, 4 Au 2.82-2.90, 1 In 2.97
Au (0.8804, 0.6140, 0.9519)  5 Zn 2.74-2.89, 5 Au 2.82-3.03, 1 In 3.03
Au (0.3449, 0.1452, 0.1319)  3 Zn 2.72-2.85, 4 Au 2.82-2.90, 1 In 2.97
Au (0.4768, 0.1319, 0.7229)  3 Zn 2.72-2.85, 4 Au 2.82-2.90, 1 In 2.97
Au (0.7336, 0.5659, 0.3860)  5 Zn 2.74-2.89, 5 Au 2.82-3.03, 1 In 3.03
Au (0.1196, 0.3860, 0.0481)  5 Zn 2.74-2.89, 5 Au 2.82-3.03, 1 In 3.03
Au (0.6551, 0.8548, 0.8681)  3 Zn 2.72-2.85, 4 Au 2.82-2.90, 1 In 2.97
In (0.0000, 0.0000, 0.0000)  12 Au 2.97-3.03

--- ii ---
## Zn6InAu12 (GGA-PBE)

Data for a geometry-optimized Zn6InAu12 structure.

Properties
SG   No. 166

Unit cell a=7.5942 b=7.5942 c=7.5942 alpha=107.66 beta=107.66 gamma=107.66
Last column: nearest neighbours and their distance in Å.
Atoms (fractional coordinates):
Au (0.8801, 0.5000, 0.1199)  4 Zn 2.68-2.70, 5 Au 2.85-2.94
Au (0.6377, 0.8775, 0.6377)  4 Zn 2.66-2.96, 4 Au 2.85-2.94, 1 In 2.88
Au (0.1199, 0.8801, 0.5000)  4 Zn 2.68-2.70, 5 Au 2.85-2.94
Au (0.8801, 0.1199, 0.5000)  4 Zn 2.68-2.70, 5 Au 2.85-2.94
Au (0.6377, 0.6377, 0.8775)  4 Zn 2.66-2.96, 4 Au 2.85-2.94, 1 In 2.88
Au (0.5000, 0.1199, 0.8801)  4 Zn 2.68-2.70, 5 Au 2.85-2.94
Au (0.1199, 0.5000, 0.8801)  4 Zn 2.68-2.70, 5 Au 2.85-2.94
Au (0.5000, 0.8801, 0.1199)  4 Zn 2.68-2.70, 5 Au 2.85-2.94
Au (0.1225, 0.3623, 0.3623)  4 Zn 2.66-2.96, 4 Au 2.85-2.94, 1 In 2.88
Au (0.3623, 0.1225, 0.3623)  4 Zn 2.66-2.96, 4 Au 2.85-2.94, 1 In 2.88
Au (0.8775, 0.6377, 0.6377)  4 Zn 2.66-2.96, 4 Au 2.85-2.94, 1 In 2.88
Au (0.3623, 0.3623, 0.1225)  4 Zn 2.66-2.96, 4 Au 2.85-2.94, 1 In 2.88
Zn (0.2933, 0.6975, 0.2933)  8 Au 2.66-2.96
Zn (0.3025, 0.7067, 0.7067)  8 Au 2.66-2.96
Zn (0.7067, 0.7067, 0.3025)  8 Au 2.66-2.96
Zn (0.6975, 0.2933, 0.2933)  8 Au 2.66-2.96
Zn (0.7067, 0.3025, 0.7067)  8 Au 2.66-2.96
Zn (0.2933, 0.2933, 0.6975)  8 Au 2.66-2.96
In (0.0000, 0.0000, 0.0000)  6 Au 2.88

Energy comparison, zero being the most stable, in kJ/mol of atoms: i 0.0; ii 4.9.

--- i ---
## ZnIn2Au2 (GGA-PBE)

Data for a geometry-optimized ZnIn2Au2 structure.

Properties
SG   No. 127

Unit cell a=7.7826 b=7.7826 c=3.6664 alpha=90.00 beta=90.00 gamma=90.00
Last column: nearest neighbours and their distance in Å.
Atoms (fractional coordinates):
In (0.3311, 0.8311, 0.0000)  6 Au 2.86-2.99, 2 Zn 2.89
In (0.6689, 0.1689, 0.0000)  6 Au 2.86-2.99, 2 Zn 2.89
In (0.8311, 0.6689, 0.0000)  6 Au 2.86-2.99, 2 Zn 2.89
In (0.1689, 0.3311, 0.0000)  6 Au 2.86-2.99, 2 Zn 2.89
Au (0.8682, 0.3682, 0.5000)  6 In 2.86-2.99, 1 Au 2.90
Au (0.1318, 0.6318, 0.5000)  6 In 2.86-2.99, 1 Au 2.90
Au (0.3682, 0.1318, 0.5000)  6 In 2.86-2.99, 1 Au 2.90
Au (0.6318, 0.8682, 0.5000)  6 In 2.86-2.99, 1 Au 2.90
Zn (0.0000, 0.0000, 0.0000)  4 In 2.89
Zn (0.5000, 0.5000, 0.0000)  4 In 2.89

--- ii ---
## ZnIn2Au2 (GGA-PBE)

Data for a geometry-optimized ZnIn2Au2 structure.

Properties
SG   No. 127

Unit cell a=7.1036 b=7.1036 c=4.2354 alpha=90.00 beta=90.00 gamma=90.00
Last column: nearest neighbours and their distance in Å.
Atoms (fractional coordinates):
In (0.6604, 0.8396, 0.5000)  6 Au 2.85-3.06
In (0.3396, 0.1604, 0.5000)  6 Au 2.85-3.06
In (0.8396, 0.3396, 0.5000)  6 Au 2.85-3.06
In (0.1604, 0.6604, 0.5000)  6 Au 2.85-3.06
Zn (0.5000, 0.5000, 0.0000)  4 Au 2.70
Zn (0.0000, 0.0000, 0.0000)  4 Au 2.70
Au (0.6504, 0.1504, 0.0000)  2 Zn 2.70, 2 In 2.85, 1 Au 3.02
Au (0.1504, 0.3496, 0.0000)  2 Zn 2.70, 2 In 2.85, 1 Au 3.02
Au (0.8496, 0.6504, 0.0000)  2 Zn 2.70, 2 In 2.85, 1 Au 3.02
Au (0.3496, 0.8496, 0.0000)  2 Zn 2.70, 2 In 2.85, 1 Au 3.02

--- iii ---
## ZnIn2Au2 (GGA-PBE)

Data for a geometry-optimized ZnIn2Au2 structure.

Properties
SG   No. 139

Unit cell a=3.9416 b=3.9416 c=7.7902 alpha=75.35 beta=75.35 gamma=90.00
Last column: nearest neighbours and their distance in Å.
Atoms (fractional coordinates):
Au (0.2500, 0.7500, 0.5000)  4 Au 2.79, 4 In 2.93
Au (0.7500, 0.2500, 0.5000)  4 Au 2.79, 4 In 2.93
In (0.6007, 0.6007, 0.7986)  1 In 2.93, 4 Au 2.93, 4 Zn 3.15
In (0.3993, 0.3993, 0.2014)  1 In 2.93, 4 Au 2.93, 4 Zn 3.15
Zn (0.0000, 0.0000, 0.0000)  8 In 3.15

--- iv ---
## ZnIn2Au2 (GGA-PBE)

Data for a geometry-optimized ZnIn2Au2 structure.

Properties
SG   No. 139

Unit cell a=4.3700 b=4.3700 c=7.0032 alpha=71.82 beta=71.82 gamma=90.00
Last column: nearest neighbours and their distance in Å.
Atoms (fractional coordinates):
In (0.7500, 0.2500, 0.5000)  4 Au 2.84, 4 In 3.09
In (0.2500, 0.7500, 0.5000)  4 Au 2.84, 4 In 3.09
Au (0.6059, 0.6059, 0.7882)  1 Au 2.66, 4 In 2.84
Au (0.3941, 0.3941, 0.2118)  1 Au 2.66, 4 In 2.84
Zn (0.0000, 0.0000, 0.0000)  8 Au 3.36

Energy comparison, zero being the most stable, in kJ/mol of atoms: i 12.5; ii 0.0; iii 13.8; iv 18.9.